VASP calculation (PBE) on a geometry-optimized PrPu4As5 structure.

Values from the calculation:
- Energy of formation from the pure elements: -11.09 eV per formula unit
- Final energy: -9.64 eV/atom

```
10
Lattice="4.070 0.000 0.930 1.717 6.760 1.857 0.012 0.010 9.322" Properties=species:S:1:pos:R:3 pbc="T T T"
Pr 0.000 0.000 0.000
Pu 2.787 1.378 6.543
Pu 1.498 2.662 2.813
Pu 4.300 4.107 9.296
Pu 3.011 5.392 5.566
As 2.382 6.104 8.317
As 3.416 0.666 3.792
As 2.155 2.146 9.311
As 0.864 3.385 5.590
As 3.643 4.624 2.798
```

VASP calculation (PBE) on a geometry-optimized InSiSe2 structure.

Values from the calculation:
- Final energy: -3.86 eV/atom

```
4
Lattice="-2.430 -2.892 0.499 1.272 -0.655 2.400 -3.954 4.463 6.615" Properties=species:S:1:pos:R:3 pbc="T T T"
In -3.226 1.410 7.011
Se 0.440 -0.133 1.370
Se -1.780 2.037 3.138
Si -1.885 -0.494 2.503
```

VASP calculation (PBE) on a geometry-optimized InCo4Sb structure.

Values from the calculation:
- Final energy: -5.64 eV/atom

```
6
Lattice="0.000 3.512 3.512 3.512 0.000 3.512 3.512 3.512 0.000" Properties=species:S:1:pos:R:3 pbc="T T T"
In 5.268 5.268 5.268
Co 2.635 4.389 4.389
Co 4.389 4.389 2.635
Co 4.389 2.635 4.389
Co 2.635 2.635 2.635
Sb 0.000 0.000 0.000
```

VASP calculation (PBE) on a geometry-optimized Ti2CrTe4 structure.

Values from the calculation:
- Final energy: -5.98 eV/atom

```
7
Lattice="3.834 0.000 0.000 0.000 6.868 -0.121 -1.917 -3.465 6.474" Properties=species:S:1:pos:R:3 pbc="T T T"
Ti 1.917 3.703 3.117
Ti 0.000 -0.301 3.236
Cr 0.000 0.000 0.000
Te 1.917 -1.122 5.043
Te 0.000 4.524 1.310
Te 1.917 1.138 1.691
Te 0.000 2.264 4.661
```